A) ! KScPb, relaxed, DFT PBE; values from VASP
! - Symmetry: No. 129
! - Volume: 216.0 Å³ per cell
&SYSTEM
  ibrav = 0, nat = 6, ntyp = 3
/
ATOMIC_SPECIES
Pb 207.20 Pb.upf
Sc 44.96 Sc.upf
K 39.10 K.upf
ATOMIC_POSITIONS angstrom
Pb 0.000 2.588 5.495
Pb 2.588 0.000 2.564
Sc 0.000 0.000 4.029
Sc 2.588 2.588 4.029
K 0.000 2.588 1.121
K 2.588 0.000 6.937
CELL_PARAMETERS angstrom
5.177 0.000 0.000
0.000 5.177 0.000
0.000 0.000 8.058


B) ! KScPb, relaxed, DFT PBE; values from VASP
! - Symmetry: No. 216
! - Volume: 103.0 Å³ per cell
&SYSTEM
  ibrav = 0, nat = 3, ntyp = 3
/
ATOMIC_SPECIES
K 39.10 K.upf
Pb 207.20 Pb.upf
Sc 44.96 Sc.upf
ATOMIC_POSITIONS angstrom
K 7.891 4.556 3.222
Pb 0.000 0.000 0.000
Sc 5.261 3.037 2.148
CELL_PARAMETERS angstrom
5.261 0.000 0.000
2.630 4.556 0.000
2.630 1.519 4.295


Most stable one: A), least stable one: B).


A) ! KScPb, relaxed, DFT PBE; values from VASP
! - Symmetry: No. 216
! - Volume: 108.4 Å³ per cell
&SYSTEM
  ibrav = 0, nat = 3, ntyp = 3
/
ATOMIC_SPECIES
Pb 207.20 Pb.upf
Sc 44.96 Sc.upf
K 39.10 K.upf
ATOMIC_POSITIONS angstrom
Pb -6.123 -0.459 2.293
Sc -9.184 -0.689 3.439
K -3.061 -0.230 1.146
CELL_PARAMETERS angstrom
-3.183 0.986 4.187
-5.084 1.471 -0.792
-3.978 -3.375 1.190


B) ! KScPb, relaxed, DFT PBE; values from VASP
! - Symmetry: No. 156
! - Volume: 223.1 Å³ per cell
&SYSTEM
  ibrav = 0, nat = 6, ntyp = 3
/
ATOMIC_SPECIES
Pb 207.20 Pb.upf
Sc 44.96 Sc.upf
K 39.10 K.upf
ATOMIC_POSITIONS angstrom
Pb 2.901 0.000 9.109
Pb 1.450 2.512 1.964
Sc 0.000 0.000 0.056
Sc 2.901 0.000 1.779
K 1.450 2.512 7.258
K 0.000 0.000 4.341
CELL_PARAMETERS angstrom
4.351 -2.512 0.000
0.000 5.024 0.000
0.000 0.000 10.205


C) ! KScPb, relaxed, DFT PBE; values from VASP
! - Symmetry: No. 6
! - Volume: 218.3 Å³ per cell
&SYSTEM
  ibrav = 0, nat = 6, ntyp = 3
/
ATOMIC_SPECIES
Pb 207.20 Pb.upf
Sc 44.96 Sc.upf
K 39.10 K.upf
ATOMIC_POSITIONS angstrom
Pb -4.960 4.160 2.760
Pb -5.328 5.057 -0.625
Sc -3.200 6.040 1.274
Sc -2.176 3.934 3.901
K -3.264 0.989 1.564
K -1.808 3.522 -1.193
CELL_PARAMETERS angstrom
-1.400 3.018 -6.002
-4.235 -2.217 -0.127
-2.079 3.615 6.210


D) ! KScPb, relaxed, DFT PBE; values from VASP
! - Symmetry: No. 187
! - Volume: 97.6 Å³ per cell
&SYSTEM
  ibrav = 0, nat = 3, ntyp = 3
/
ATOMIC_SPECIES
Pb 207.20 Pb.upf
Sc 44.96 Sc.upf
K 39.10 K.upf
ATOMIC_POSITIONS angstrom
Pb -1.819 -2.339 0.868
Sc 0.000 0.000 0.000
K -3.395 0.966 0.978
CELL_PARAMETERS angstrom
-4.188 2.406 -2.295
-0.634 -4.711 2.449
-0.783 1.864 3.384


Most stable one: B), least stable one: A).


A) ! KScPb, relaxed, DFT PBE; values from VASP
! - Symmetry: No. 1
! - Volume: 226.6 Å³ per cell
&SYSTEM
  ibrav = 0, nat = 6, ntyp = 3
/
ATOMIC_SPECIES
Sc 44.96 Sc.upf
Pb 207.20 Pb.upf
K 39.10 K.upf
ATOMIC_POSITIONS angstrom
Sc -10.638 -6.010 -3.773
Sc -7.596 -5.792 -2.553
Pb -8.357 -6.403 -5.726
Pb -8.898 -3.100 -3.199
K -5.582 -2.500 -1.569
K -2.343 -2.485 1.969
CELL_PARAMETERS angstrom
-4.105 2.354 0.533
-7.784 -6.985 -8.401
-0.916 -2.208 2.694


B) ! KScPb, relaxed, DFT PBE; values from VASP
! - Symmetry: No. 107
! - Volume: 112.6 Å³ per cell
&SYSTEM
  ibrav = 0, nat = 3, ntyp = 3
/
ATOMIC_SPECIES
K 39.10 K.upf
Pb 207.20 Pb.upf
Sc 44.96 Sc.upf
ATOMIC_POSITIONS angstrom
K 0.314 -8.016 -10.600
Pb 0.085 -2.181 -2.884
Sc 0.231 -5.893 -7.792
CELL_PARAMETERS angstrom
-2.738 -3.884 -5.510
3.053 -4.162 -5.128
-0.383 1.709 7.062


C) ! KScPb, relaxed, DFT PBE; values from VASP
! - Symmetry: No. 51
! - Volume: 194.6 Å³ per cell
&SYSTEM
  ibrav = 0, nat = 6, ntyp = 3
/
ATOMIC_SPECIES
Pb 207.20 Pb.upf
Sc 44.96 Sc.upf
K 39.10 K.upf
ATOMIC_POSITIONS angstrom
Pb 1.603 0.000 2.039
Pb 4.809 0.000 6.717
Sc 0.000 1.733 0.000
Sc 3.206 1.733 0.000
K 1.603 1.733 5.375
K 4.809 1.733 3.382
CELL_PARAMETERS angstrom
6.413 0.000 0.000
0.000 3.466 0.000
0.000 0.000 8.757


Most stable one: A), least stable one: B).


A) ! KScPb, relaxed, DFT PBE; values from VASP
! - Symmetry: No. 59
! - Volume: 194.5 Å³ per cell
&SYSTEM
  ibrav = 0, nat = 6, ntyp = 3
/
ATOMIC_SPECIES
Pb 207.20 Pb.upf
Sc 44.96 Sc.upf
K 39.10 K.upf
ATOMIC_POSITIONS angstrom
Pb -1.157 1.351 2.165
Pb -7.033 -0.728 4.077
Sc -6.132 -1.852 6.802
Sc -2.058 2.475 -0.560
K -3.780 0.559 5.075
K -4.410 0.064 1.167
CELL_PARAMETERS angstrom
-3.922 1.607 -3.099
-6.429 -1.942 7.131
0.400 3.522 1.320


B) ! KScPb, relaxed, DFT PBE; values from VASP
! - Symmetry: No. 11
! - Volume: 210.9 Å³ per cell
&SYSTEM
  ibrav = 0, nat = 6, ntyp = 3
/
ATOMIC_SPECIES
Pb 207.20 Pb.upf
Sc 44.96 Sc.upf
K 39.10 K.upf
ATOMIC_POSITIONS angstrom
Pb -1.450 -0.569 3.238
Pb -1.612 6.296 9.647
Sc -4.729 6.523 9.759
Sc 1.667 -0.796 3.126
K -3.511 3.962 7.366
K 0.449 1.765 5.519
CELL_PARAMETERS angstrom
-2.090 -2.386 1.490
3.322 -1.112 2.880
-4.294 9.225 8.515


Most stable one: B), least stable one: A).


A) ! KScPb3, relaxed, DFT PBE; values from VASP
! - Symmetry: No. 221
! - Volume: 191.0 Å³ per cell
&SYSTEM
  ibrav = 0, nat = 5, ntyp = 3
/
ATOMIC_SPECIES
Pb 207.20 Pb.upf
Sc 44.96 Sc.upf
K 39.10 K.upf
ATOMIC_POSITIONS angstrom
Pb 2.500 -0.889 -1.117
Pb 1.286 0.421 2.542
Pb -0.622 -2.706 0.763
Sc 3.164 -3.174 2.187
K 0.000 0.000 0.000
CELL_PARAMETERS angstrom
-1.243 -5.412 1.526
5.000 -1.779 -2.235
2.571 0.843 5.083


B) ! KScPb3, relaxed, DFT PBE; values from VASP
! - Symmetry: No. 221
! - Volume: 185.4 Å³ per cell
&SYSTEM
  ibrav = 0, nat = 5, ntyp = 3
/
ATOMIC_SPECIES
Pb 207.20 Pb.upf
Sc 44.96 Sc.upf
K 39.10 K.upf
ATOMIC_POSITIONS angstrom
Pb 1.857 -2.137 0.338
Pb -0.537 -0.024 2.800
Pb -2.096 -1.887 -0.418
Sc 0.000 0.000 0.000
K -0.776 -4.048 2.720
CELL_PARAMETERS angstrom
-4.193 -3.774 -0.835
3.713 -4.275 0.676
-1.073 -0.047 5.600


Most stable one: B), least stable one: A).


A) ! K2PbSe2, relaxed, DFT PBE; values from VASP
! - Symmetry: No. 127
! - Volume: 322.4 Å³ per cell
&SYSTEM
  ibrav = 0, nat = 10, ntyp = 3
/
ATOMIC_SPECIES
Pb 207.20 Pb.upf
K 39.10 K.upf
Se 78.96 Se.upf
ATOMIC_POSITIONS angstrom
Pb 0.000 0.000 0.000
Pb 4.181 4.181 0.000
K 1.110 5.291 2.306
K 5.291 7.252 2.306
K 7.252 3.071 2.306
K 3.071 1.110 2.306
Se 2.692 6.873 0.000
Se 6.873 5.670 0.000
Se 5.670 1.489 0.000
Se 1.489 2.692 0.000
CELL_PARAMETERS angstrom
8.362 0.000 0.000
0.000 8.362 0.000
0.000 0.000 4.611


B) ! K2PbSe2, relaxed, DFT PBE; values from VASP
! - Symmetry: No. 139
! - Volume: 157.0 Å³ per cell
&SYSTEM
  ibrav = 0, nat = 5, ntyp = 3
/
ATOMIC_SPECIES
K 39.10 K.upf
Pb 207.20 Pb.upf
Se 78.96 Se.upf
ATOMIC_POSITIONS angstrom
K -4.076 0.658 1.874
K -4.060 -2.009 0.190
Pb 0.000 0.000 0.000
Se -7.497 -3.231 5.046
Se -4.839 -2.085 3.257
CELL_PARAMETERS angstrom
-6.152 -5.324 2.468
-6.184 0.008 5.835
4.199 3.965 -6.239


Most stable one: A), least stable one: B).